[1]
Ac5La12Nd2: relaxed, PBE.

abc: 18.7561 12.3933 6.5186
angles: 90.00 102.48 90.00
Space group C2/m (No. 12)
Symmetry-distinct sites (fractional):
Ac: 0.0000 0.0000 0.0000 x2
Ac: 0.1730 0.5000 0.3606 x4
Ac: 0.2147 0.0000 0.0643 x4
La: 0.0515 0.5000 0.7740 x4
La: 0.1009 0.2577 0.1174 x8
La: 0.1200 0.0000 0.5006 x4
La: 0.1992 0.2466 0.6994 x8
Nd: 0.0000 0.2284 0.5000 x4

Computed properties:
Energy: -4.61 eV/atom
Energy of formation from the pure elements: 83 meV per atom
Size of the total moment: 0.00 Bohr magnetons per cell

---

[2]
Ac2La7Nd3: relaxed, PBE.

abc: 6.1232 3.7374 20.0444
angles: 90.00 93.46 90.00
Space group P2/m (No. 10)
Symmetry-distinct sites (fractional):
Ac: 0.1994 0.0000 0.2961 x2
La: 0.1743 0.5000 0.1412 x2
La: 0.2430 0.0000 0.4685 x2
La: 0.3250 0.0000 0.8268 x2
La: 0.5000 0.5000 0.0000 x1
Nd: 0.0000 0.0000 0.0000 x1
Nd: 0.2872 0.5000 0.6313 x2

Computed properties:
Energy: -4.67 eV/atom
Energy of formation from the pure elements: 86 meV per atom
Size of the total moment: 0.00 Bohr magnetons per cell
Relative energy among the computed polymorphs: 17 meV per atom

---

[3]
Ac3La3Nd4: relaxed, PBE.

abc: 3.8846 14.1408 14.3245
angles: 90.00 90.00 90.00
Space group Amm2 (No. 38)
Symmetry-distinct sites (fractional):
Ac: 0.0000 0.0000 0.0000 x2
Ac: 0.5000 0.2495 0.0770 x4
La: 0.0000 0.0000 0.6504 x2
La: 0.0000 0.1744 0.3292 x4
Nd: 0.5000 0.0000 0.2088 x2
Nd: 0.5000 0.0000 0.4529 x2
Nd: 0.5000 0.1249 0.8196 x4

Computed properties:
Energy: -4.55 eV/atom
Energy of formation from the pure elements: 73 meV per atom
Size of the total moment: 0.00 Bohr magnetons per cell

---

[4]
AcLa12Nd6: relaxed, PBE.

abc: 14.2726 14.2726 12.3355
angles: 90.00 90.00 120.00
Space group R-3m (No. 166, hexagonal axes)
Symmetry-distinct sites (fractional):
Ac: 0.0000 0.0000 0.0000 x3
La: 0.0000 0.3903 0.5000 x18
La: 0.0899 0.1798 0.3480 x18
Nd: 0.0000 0.5000 0.2647 x18

Computed properties:
Energy: -4.53 eV/atom
Energy of formation from the pure elements: 301 meV per atom
Size of the total moment: 0.00 Bohr magnetons per cell
Relative energy among the computed polymorphs: 146 meV per atom

---

[5]
Ac5La5Nd2: relaxed, PBE.

abc: 16.2576 5.4280 12.1436
angles: 90.00 116.51 90.00
Space group C2/m (No. 12)
Symmetry-distinct sites (fractional):
Ac: 0.0000 0.0000 0.0000 x2
Ac: 0.1619 0.0000 0.4968 x4
Ac: 0.2475 0.5000 0.7529 x4
La: 0.0000 0.5000 0.5000 x2
La: 0.0790 0.5000 0.2473 x4
La: 0.1669 0.5000 0.0004 x4
Nd: 0.0840 0.0000 0.7547 x4

Computed properties:
Energy: -4.53 eV/atom
Energy of formation from the pure elements: 25 meV per atom
Size of the total moment: 0.00 Bohr magnetons per cell

---

[6]
Ac2La5Nd12: relaxed, PBE.

abc: 11.5772 11.8692 10.7451
angles: 90.00 107.25 90.00
Space group C2/m (No. 12)
Symmetry-distinct sites (fractional):
Ac: 0.0000 0.2342 0.0000 x4
La: 0.0000 0.5000 0.5000 x2
La: 0.1663 0.0000 0.6049 x4
La: 0.2210 0.0000 0.9649 x4
Nd: 0.0339 0.5000 0.1790 x4
Nd: 0.1064 0.2520 0.4019 x8
Nd: 0.1110 0.0000 0.2474 x4
Nd: 0.1841 0.2821 0.7698 x8

Computed properties:
Energy: -4.65 eV/atom
Energy of formation from the pure elements: 94 meV per atom
Size of the total moment: 0.00 Bohr magnetons per cell
Relative energy among the computed polymorphs: 0 meV per atom

---

[7]
Ac2La2Nd3: relaxed, PBE.

abc: 18.4307 3.7352 9.0558
angles: 90.00 118.95 90.00
Space group C2/m (No. 12)
Symmetry-distinct sites (fractional):
Ac: 0.1465 0.0000 0.3295 x4
La: 0.0659 0.5000 0.9059 x4
Nd: 0.0000 0.0000 0.5000 x2
Nd: 0.2112 0.0000 0.8074 x4

Computed properties:
Energy: -4.53 eV/atom
Energy of formation from the pure elements: 95 meV per atom
Size of the total moment: 0.00 Bohr magnetons per cell
Relative energy among the computed polymorphs: 68 meV per atom

---

[8]
Ac8LaNd3: relaxed, PBE.

abc: 9.3731 9.3731 12.8846
angles: 90.00 90.00 90.00
Space group I-42m (No. 121)
Symmetry-distinct sites (fractional):
Ac: 0.1303 0.1303 0.2548 x8
Ac: 0.2475 0.2475 0.5078 x8
La: 0.0000 0.0000 0.0000 x2
Nd: 0.0000 0.0000 0.5000 x2
Nd: 0.0000 0.5000 0.2500 x4

Computed properties:
Energy: -3.77 eV/atom
Energy of formation from the pure elements: 574 meV per atom
Size of the total moment: 0.00 Bohr magnetons per cell

---

[9]
Ac12La5Nd2: relaxed, PBE.

abc: 19.8123 7.6988 11.0524
angles: 90.00 106.78 90.00
Space group C2/m (No. 12)
Symmetry-distinct sites (fractional):
Ac: 0.0021 0.0000 0.1763 x4
Ac: 0.0344 0.5000 0.7342 x4
Ac: 0.1591 0.2582 0.3914 x8
Ac: 0.1634 0.2504 0.0383 x8
La: 0.0000 0.5000 0.0000 x2
La: 0.1709 0.0000 0.7192 x4
La: 0.2024 0.5000 0.7174 x4
Nd: 0.0000 0.2031 0.5000 x4

Computed properties:
Energy: -4.23 eV/atom
Energy of formation from the pure elements: 164 meV per atom
Size of the total moment: 0.00 Bohr magnetons per cell
Relative energy among the computed polymorphs: 69 meV per atom

---

[10]
Ac4La3Nd4: relaxed, PBE.

abc: 3.7524 11.9788 19.7477
angles: 90.00 90.00 90.00
Space group Immm (No. 71)
Symmetry-distinct sites (fractional):
Ac: 0.0000 0.0000 0.2035 x4
Ac: 0.0000 0.2219 0.5000 x4
La: 0.0000 0.0000 0.0000 x2
La: 0.0000 0.5000 0.1082 x4
Nd: 0.0000 0.2409 0.3249 x8

Computed properties:
Energy: -4.41 eV/atom
Energy of formation from the pure elements: 160 meV per atom
Size of the total moment: 0.00 Bohr magnetons per cell

---

[11]
Ac3La5Nd3: relaxed, PBE.

abc: 9.7552 9.7552 6.1969
angles: 90.00 90.00 120.00
Space group P-62m (No. 189)
Symmetry-distinct sites (fractional):
Ac: 0.0000 0.5264 0.0000 x3
La: 0.0000 0.6344 0.5000 x3
La: 0.3333 0.6667 0.5000 x2
Nd: 0.0000 0.2739 0.5000 x3

Computed properties:
Energy: -4.06 eV/atom
Energy of formation from the pure elements: 597 meV per atom
Size of the total moment: 0.00 Bohr magnetons per cell

---

[12]
AcLa4Nd10: relaxed, PBE.

abc: 13.0481 13.0481 6.9646
angles: 90.00 90.00 90.00
Space group I4/m (No. 87)
Symmetry-distinct sites (fractional):
Ac: 0.0000 0.0000 0.0000 x2
La: 0.0668 0.1780 0.5000 x8
Nd: 0.0000 0.5000 0.2500 x4
Nd: 0.1310 0.7046 0.2494 x16

Computed properties:
Energy: -4.31 eV/atom
Energy of formation from the pure elements: 455 meV per atom
Size of the total moment: 0.00 Bohr magnetons per cell